# PBE-GGA LaPa2Zn9, optimized geometry
data_LaPa2Zn9
_symmetry_space_group_name_H-M 'R -3 m'
_symmetry_Int_Tables_number 166
_symmetry_space_group_name_Hall '-R 3 2"'
_cell_length_a 5.3930
_cell_length_b 5.3930
_cell_length_c 26.6290
_cell_angle_alpha 90.00
_cell_angle_beta 90.00
_cell_angle_gamma 120.00
loop_
_atom_site_label
_atom_site_fract_x
_atom_site_fract_y
_atom_site_fract_z
_atom_site_occupancy
La1 0.0000 0.0000 0.0000 1
Pa1 0.0000 0.0000 0.1509 1
Zn1 0.0000 0.0000 0.3358 1
Zn2 0.0000 0.0000 0.5000 1
Zn3 0.0047 0.5023 0.9177 1
# **Calculated density**: 8.836 g/cm³
# **N(E_F)**: 11.34 states/eV/f.u.
# **Calculated formation energy**: -2.08 eV/f.u.

---

# PBE-GGA Ta2VRe, optimized geometry
data_Ta2VRe
_symmetry_space_group_name_H-M 'I m m m'
_symmetry_Int_Tables_number 71
_symmetry_space_group_name_Hall '-I 2 2'
_cell_length_a 2.986
_cell_length_b 4.504
_cell_length_c 10.429
_cell_angle_alpha 90.00
_cell_angle_beta 90.00
_cell_angle_gamma 90.00
loop_
_atom_site_label
_atom_site_fract_x
_atom_site_fract_y
_atom_site_fract_z
_atom_site_occupancy
Ta1 0.000 0.000 0.249 1
V1 0.000 0.000 0.500 1
Re1 0.000 0.000 0.000 1
# **Calculated density**: 14.185 g/cm³
# **N(E_F)**: 4.22 states/eV/f.u.
# **Calculated formation energy**: 2.95 eV/f.u.

---

# PBE-GGA InAg3Bi3S8, optimized geometry
data_InAg3Bi3S8
_symmetry_space_group_name_H-M 'R -3 m'
_symmetry_Int_Tables_number 166
_symmetry_space_group_name_Hall '-R 3 2"'
_cell_length_a 7.9311
_cell_length_b 7.9311
_cell_length_c 19.0721
_cell_angle_alpha 90.00
_cell_angle_beta 90.00
_cell_angle_gamma 120.00
loop_
_atom_site_label
_atom_site_fract_x
_atom_site_fract_y
_atom_site_fract_z
_atom_site_occupancy
In1 0.0000 0.0000 0.0000 1
Ag1 0.0000 0.5000 0.5000 1
Bi1 0.0000 0.5000 0.0000 1
S1 0.0000 0.0000 0.2465 1
S2 0.0190 0.5095 0.7490 1
# **Calculated density**: 6.339 g/cm³
# **N(E_F)**: 6.46 states/eV/f.u.
# **E_tot**: -3.99 eV/atom

---

# PBE-GGA Tc2IrRhI, optimized geometry
data_Tc2IrRhI
_symmetry_space_group_name_H-M 'P 4/m m m'
_symmetry_Int_Tables_number 123
_symmetry_space_group_name_Hall '-P 4 2'
_cell_length_a 4.790
_cell_length_b 4.790
_cell_length_c 4.857
_cell_angle_alpha 90.00
_cell_angle_beta 90.00
_cell_angle_gamma 90.00
loop_
_atom_site_label
_atom_site_fract_x
_atom_site_fract_y
_atom_site_fract_z
_atom_site_occupancy
Tc1 0.000 0.500 0.000 1
Ir1 0.000 0.000 0.500 1
Rh1 0.000 0.000 0.000 1
I1 0.500 0.500 0.500 1
# **Calculated density**: 9.209 g/cm³
# **N(E_F)**: 9.30 states/eV/f.u.
# **E_tot**: -5.82 eV/atom

---

# PBE-GGA Al3SnTe, optimized geometry
data_Al3SnTe
_symmetry_space_group_name_H-M 'P m -3 m'
_symmetry_Int_Tables_number 221
_symmetry_space_group_name_Hall '-P 4 2 3'
_cell_length_a 5.306
_cell_length_b 5.306
_cell_length_c 5.306
_cell_angle_alpha 90.00
_cell_angle_beta 90.00
_cell_angle_gamma 90.00
loop_
_atom_site_label
_atom_site_fract_x
_atom_site_fract_y
_atom_site_fract_z
_atom_site_occupancy
Al1 0.000 0.000 0.500 1
Sn1 0.000 0.000 0.000 1
Te1 0.500 0.500 0.500 1
# **Excess energy over the best structure of this formula in the dataset**: 0.0 meV/atom
# **Calculated density**: 3.638 g/cm³
# **N(E_F)**: 3.51 states/eV/f.u.

---

# PBE-GGA LiCr2, optimized geometry
data_LiCr2
_symmetry_space_group_name_H-M 'I 4/m c m'
_symmetry_Int_Tables_number 140
_symmetry_space_group_name_Hall '-I 4 2c'
_cell_length_a 5.879
_cell_length_b 5.879
_cell_length_c 3.911
_cell_angle_alpha 90.00
_cell_angle_beta 90.00
_cell_angle_gamma 90.00
loop_
_atom_site_label
_atom_site_fract_x
_atom_site_fract_y
_atom_site_fract_z
_atom_site_occupancy
Li1 0.000 0.000 0.250 1
Cr1 0.164 0.336 0.000 1
# **Excess energy over the best structure of this formula in the dataset**: 433.8 meV/atom
# **Calculated density**: 5.450 g/cm³
# **N(E_F)**: 3.45 states/eV/f.u.
# **Calculated formation energy**: 2.55 eV/f.u.

---

# PBE-GGA RbNpAgTe2, optimized geometry
data_RbNpAgTe2
_symmetry_space_group_name_H-M 'C m m e'
_symmetry_Int_Tables_number 67
_symmetry_space_group_name_Hall '-C 2a 2'
_cell_length_a 6.005
_cell_length_b 17.095
_cell_length_c 6.819
_cell_angle_alpha 90.00
_cell_angle_beta 90.00
_cell_angle_gamma 90.00
loop_
_atom_site_label
_atom_site_fract_x
_atom_site_fract_y
_atom_site_fract_z
_atom_site_occupancy
Rb1 0.000 0.250 0.235 1
Np1 0.250 0.000 0.500 1
Ag1 0.000 0.000 0.000 1
Te1 0.000 0.124 0.749 1
# **Calculated density**: 6.505 g/cm³
# **N(E_F)**: 6.75 states/eV/f.u.
# **E_tot**: -5.11 eV/atom

---

# PBE-GGA TbMgCdPt, optimized geometry
data_TbMgCdPt
_symmetry_space_group_name_H-M 'F -4 3 m'
_symmetry_Int_Tables_number 216
_symmetry_space_group_name_Hall 'F -4 2 3'
_cell_length_a 6.949
_cell_length_b 6.949
_cell_length_c 6.949
_cell_angle_alpha 90.00
_cell_angle_beta 90.00
_cell_angle_gamma 90.00
loop_
_atom_site_label
_atom_site_fract_x
_atom_site_fract_y
_atom_site_fract_z
_atom_site_occupancy
Tb1 0.000 0.000 0.000 1
Mg1 0.000 0.000 0.500 1
Cd1 0.250 0.250 0.750 1
Pt1 0.250 0.250 0.250 1
# **Calculated density**: 9.716 g/cm³
# **N(E_F)**: 3.72 states/eV/f.u.
# **Calculated formation energy**: -2.54 eV/f.u.